Record 1
Material: ErPuTe2O
Method: DFT, PBE
State: relaxed

Unit cell a=4.151 b=4.151 c=15.465 alpha=90.00 beta=90.00 gamma=90.00
Fractional coordinates of all 10 atoms:
Er1 0.250 0.250 0.129
Er2 0.750 0.750 0.871
Pu1 0.250 0.250 0.570
Pu2 0.750 0.750 0.430
Te1 0.250 0.250 0.315
Te2 0.250 0.250 0.914
Te3 0.750 0.750 0.086
Te4 0.750 0.750 0.685
O1 0.250 0.750 0.500
O2 0.750 0.250 0.500

Properties
As for the uncorrected formation energy: -9.2 eV per formula unit. The size of the total moment comes out at 4.85 μB/f.u. Its density of states at the Fermi level is 12.3 states/eV per cell. Its space-group type is P4/nmm.



Record 2
Material: BaCdNi
Method: DFT, PBE
State: relaxed

Unit cell a=5.340 b=5.340 c=5.340 alpha=60.00 beta=60.00 gamma=60.00
Fractional coordinates of all 3 atoms:
Ba1 0.000 0.000 0.000
Cd1 0.250 0.250 0.250
Ni1 0.750 0.750 0.750

Properties
As for the energy: -2.28 eV/atom. The size of the total moment comes out at 0.13 μB/f.u. Its density of states at the Fermi level is 6.1 states/eV per cell. Its space-group type is F-43m.



Record 3
Material: Ru2S2N
Method: DFT, PBE
State: relaxed

Unit cell a=5.493 b=5.493 c=4.661 alpha=90.00 beta=90.00 gamma=90.00
Fractional coordinates of all 10 atoms:
Ru1 0.181 0.319 0.000
Ru2 0.319 0.819 0.000
Ru3 0.681 0.181 0.000
Ru4 0.819 0.681 0.000
S1 0.132 0.368 0.500
S2 0.368 0.868 0.500
S3 0.632 0.132 0.500
S4 0.868 0.632 0.500
N1 0.000 0.000 0.000
N2 0.500 0.500 0.000

Properties
As for the uncorrected formation energy: 1.1 eV per formula unit. The size of the total moment comes out at 0.00 μB/f.u. Its density of states at the Fermi level is 5.8 states/eV per cell. Its energy above the lowest structure with this stoichiometry is 0 meV/atom. Its space-group type is P4/mbm.